Entry from Alexandria via LeMat-Bulk: a relaxed structure of LaHo6Al2 (PBE).

Cell: 4.7836 4.7836 14.1979 Å, 99.70 99.70 90.00°
With the nearest neighbours (Å) after each atom.
Fractional coordinates of all 9 atoms:
Ho  0.2500  0.7500  0.5000  4 Al 2.96
Ho  0.6433  0.6433  0.7904  1 Al 2.83
Ho  0.3567  0.8530  0.2096  1 Al 2.83
Ho  0.1470  0.1470  0.7904  1 Al 2.83
Ho  0.7500  0.2500  0.5000  4 Al 2.96
Ho  0.8530  0.3567  0.2096  1 Al 2.83
La  0.5000  0.5000  0.0000  4 Ho 3.34
Al  0.8134  0.8134  0.6268  6 Ho 2.83-2.96
Al  0.1866  0.1866  0.3732  6 Ho 2.83-2.96

Computed properties:
- Total DFT energy (no corrections): -3.961 eV per atom
- Size of the total moment: 0.00 μB/atom